1.
Crystalline LiY2PtN at its relaxed geometry, computed with PBE.

```
5
Lattice="4.7575 0.0000 0.0000 0.0000 4.7575 0.0000 0.0000 0.0000 3.9571" Properties=species:S:1:pos:R:3 pbc="T T T"
Y 0.0000 2.3788 0.0000
Y 2.3788 0.0000 0.0000
Li 0.0000 0.0000 1.9786
Pt 2.3788 2.3788 1.9786
N 0.0000 0.0000 0.0000
```

Values from the calculation:
The energy relative to the elements, uncorrected comes out at -1.0660 eV per atom. As for the theoretical density: 7.3 g/cm³. The calculation puts the size of the total moment at 0.0 μB/f.u. The space group is P4/mmm.



2.
Crystalline ZrGeSe3 at its relaxed geometry, computed with PBE.

```
20
Lattice="3.8111 0.0000 0.0000 0.0000 10.0594 0.0000 0.0000 0.0000 15.0160" Properties=species:S:1:pos:R:3 pbc="T T T"
Zr 0.9528 8.5217 8.1780
Zr 2.8583 6.5673 0.6700
Zr 2.8583 1.5376 6.8380
Zr 0.9528 3.4920 14.3460
Ge 2.8583 5.7491 9.4829
Ge 0.9528 9.3399 1.9749
Ge 0.9528 4.3103 5.5330
Ge 2.8583 0.7194 13.0410
Se 0.9528 7.1746 10.5000
Se 2.8583 7.9144 2.9920
Se 2.8583 2.8847 4.5160
Se 0.9528 2.1450 12.0240
Se 2.8583 0.1023 9.1625
Se 0.9528 4.9274 1.6545
Se 0.9528 9.9570 5.8535
Se 2.8583 5.1320 13.3615
Se 2.8583 6.8496 7.1603
Se 0.9528 8.2394 14.6683
Se 0.9528 3.2097 7.8557
Se 2.8583 1.8200 0.3477
```

Values from the calculation:
The energy relative to the elements, uncorrected comes out at -0.9048 eV per atom. As for the theoretical density: 4.6 g/cm³. The calculation puts the size of the total moment at 0.0 μB/f.u. The calculation puts the distance to the lowest polymorph of the same formula at 0 meV/atom. The space group is Pnma.



3.
Crystalline LiAs4Pt at its relaxed geometry, computed with PBE.

```
6
Lattice="0.0000 3.8697 3.8697 3.8697 0.0000 3.8697 3.8697 3.8697 0.0000" Properties=species:S:1:pos:R:3 pbc="T T T"
Li 5.8045 5.8045 5.8045
As 2.9132 4.8261 4.8261
As 4.8261 4.8261 2.9132
As 4.8261 2.9132 4.8261
As 2.9132 2.9132 2.9132
Pt 0.0000 0.0000 0.0000
```

Values from the calculation:
The formation enthalpy at 0 K is 303 meV per atom. As for the theoretical density: 7.2 g/cm³. The calculation puts the size of the total moment at 0.0 μB/f.u. The space group is F-43m.



4.
Crystalline MgBeSi at its relaxed geometry, computed with PBE.

```
3
Lattice="3.8314 0.0000 0.0000 -1.9157 3.3181 0.0000 0.0000 0.0000 3.6448" Properties=species:S:1:pos:R:3 pbc="T T T"
Be 1.9157 1.1060 1.8224
Si 0.0000 0.0000 1.8224
Mg 0.0000 2.2120 0.0000
```

Values from the calculation:
The energy relative to the elements, uncorrected comes out at 0.0324 eV per atom. As for the theoretical density: 2.2 g/cm³. The calculation puts the size of the total moment at 0.0 μB/f.u. The space group is P-6m2.



5.
Crystalline CsSrRu2 at its relaxed geometry, computed with PBE.

```
4
Lattice="5.0242 -1.2302 -0.3330 1.4084 -4.8269 -1.2588 2.1335 -0.9540 -4.6265" Properties=species:S:1:pos:R:3 pbc="T T T"
Cs 4.2830 -3.5055 -3.1092
Ru 2.1415 -1.7528 -1.5546
Ru 6.4246 -5.2583 -4.6638
Sr 0.0000 0.0000 0.0000
```

Values from the calculation:
The formation enthalpy at 0 K is 1551 meV per atom. As for the theoretical density: 7.1 g/cm³. The calculation puts the size of the total moment at 2.4 μB/f.u. The space group is Fm-3m.



6.
Crystalline CuNi6Pt2 at its relaxed geometry, computed with PBE.

```
9
Lattice="-2.6071 -0.8071 4.9344 2.0087 -4.3537 0.3525 4.2593 -0.5159 2.1693" Properties=species:S:1:pos:R:3 pbc="T T T"
Cu 0.0000 0.0000 0.0000
Ni 3.3507 -2.1924 3.5585
Ni 4.3224 -4.3005 3.7298
Ni 2.2607 -4.0510 2.6786
Ni 0.3102 -3.4843 3.8976
Ni -0.6615 -1.3762 3.7264
Ni 1.4002 -1.6257 4.7775
Pt 1.8373 -3.9710 6.1122
Pt 1.8236 -1.7057 1.3440
```

Values from the calculation:
The formation enthalpy at 0 K is 160 meV per atom. As for the theoretical density: 11.9 g/cm³. The calculation puts the size of the total moment at 4.3 μB/f.u. The calculation puts the distance to the lowest polymorph of the same formula at 138 meV/atom. The space group is P-3m1.



- The highest size of the total moment belongs to which entry?
  CuNi6Pt2